3
Lattice="-1.335 1.983 3.930 1.335 -1.983 3.930 1.335 1.983 -3.930" Properties=species:S:1:pos:R:3 comment="LiOsPt PBE relaxed" crystal_system=orthorhombic dos_ef_per_ev_atom=0.508 dft_energy_ha_per_atom=-0.232 formation_energy_kj_per_mol_fu=24 pbc="T T T"
Li 0.000 0.000 0.000
Os 0.000 0.000 5.253
Pt 0.000 0.000 2.631

---

3
Lattice="0.000 2.915 2.915 2.915 0.000 2.915 2.915 2.915 0.000" Properties=species:S:1:pos:R:3 comment="LiOsPt PBE relaxed" crystal_system=cubic dos_ef_per_ev_atom=1.226 dft_energy_ha_per_atom=-0.218 formation_energy_kj_per_mol_fu=131 pbc="T T T"
Li 0.000 0.000 0.000
Os 2.915 2.915 2.915
Pt 1.458 1.458 1.458

---

4
Lattice="2.697 0.000 0.000 0.000 4.063 0.000 0.000 0.000 5.367" Properties=species:S:1:pos:R:3 comment="LiOsPt2 PBE relaxed" crystal_system=orthorhombic dos_ef_per_ev_atom=0.977 dft_energy_ha_per_atom=-0.233 formation_energy_kj_per_mol_fu=-11 pbc="T T T"
Li 0.000 0.000 0.000
Os 1.348 2.031 1.592
Pt 0.000 0.000 2.624
Pt 1.348 2.031 4.358

---

10
Lattice="7.095 0.000 0.000 0.000 7.095 0.000 0.000 0.000 2.713" Properties=species:S:1:pos:R:3 comment="Li2OsPt2 PBE relaxed" crystal_system=tetragonal dos_ef_per_ev_atom=0.660 dft_energy_ha_per_atom=-0.198 formation_energy_kj_per_mol_fu=16 pbc="T T T"
Li 1.108 2.440 0.000
Li 2.440 5.987 0.000
Li 4.655 1.108 0.000
Li 5.987 4.655 0.000
Os 0.000 0.000 1.357
Os 3.547 3.547 1.357
Pt 1.020 4.568 1.357
Pt 2.527 1.020 1.357
Pt 4.568 6.074 1.357
Pt 6.074 2.527 1.357

---

5
Lattice="-1.986 1.986 5.622 1.986 -1.986 5.622 1.986 1.986 -5.622" Properties=species:S:1:pos:R:3 comment="LiOs2Pt2 PBE relaxed" crystal_system=tetragonal dos_ef_per_ev_atom=1.207 dft_energy_ha_per_atom=-0.250 formation_energy_kj_per_mol_fu=231 pbc="T T T"
Li 0.000 0.000 0.000
Os 0.000 0.000 4.493
Os 0.000 0.000 6.751
Pt 1.986 0.000 2.811
Pt 0.000 1.986 2.811

---

4
Lattice="2.681 0.000 0.000 0.000 4.674 0.000 -0.115 0.000 4.607" Properties=species:S:1:pos:R:3 comment="LiOs2Pt PBE relaxed" crystal_system=monoclinic dos_ef_per_ev_atom=0.879 dft_energy_ha_per_atom=-0.272 formation_energy_kj_per_mol_fu=77 pbc="T T T"
Li 0.000 0.000 0.000
Os 0.643 2.337 3.502
Os 1.923 2.337 1.105
Pt 1.283 0.000 2.303

---

3
Lattice="2.714 0.000 0.000 -1.357 2.351 0.000 0.000 0.000 6.830" Properties=species:S:1:pos:R:3 comment="LiOsPt PBE relaxed" crystal_system=trigonal dos_ef_per_ev_atom=1.013 dft_energy_ha_per_atom=-0.232 formation_energy_kj_per_mol_fu=26 pbc="T T T"
Li 0.000 0.000 0.000
Os 1.357 0.784 2.322
Pt 0.000 1.567 4.601

---

4
Lattice="2.594 -4.230 0.000 2.594 4.230 0.000 0.000 0.000 2.582" Properties=species:S:1:pos:R:3 comment="Li2OsPt PBE relaxed" crystal_system=orthorhombic dos_ef_per_ev_atom=1.031 dft_energy_ha_per_atom=-0.192 formation_energy_kj_per_mol_fu=16 pbc="T T T"
Li 1.297 2.115 0.000
Li 1.297 -2.115 0.000
Os 0.000 0.000 1.291
Pt 2.594 0.000 1.291

---

4
Lattice="2.739 0.000 0.000 0.000 3.777 0.000 0.000 0.000 5.448" Properties=species:S:1:pos:R:3 comment="LiOs2Pt PBE relaxed" crystal_system=orthorhombic dos_ef_per_ev_atom=0.715 dft_energy_ha_per_atom=-0.279 formation_energy_kj_per_mol_fu=4 pbc="T T T"
Li 0.000 0.000 0.000
Os 0.000 0.000 2.656
Os 1.370 1.889 1.520
Pt 1.370 1.889 4.325

---

4
Lattice="2.651 0.000 0.000 0.000 4.549 0.000 0.000 0.000 4.650" Properties=species:S:1:pos:R:3 comment="Li2OsPt PBE relaxed" crystal_system=orthorhombic dos_ef_per_ev_atom=0.494 dft_energy_ha_per_atom=-0.199 formation_energy_kj_per_mol_fu=-55 pbc="T T T"
Li 0.000 0.000 0.000
Li 1.326 2.274 0.534
Os 0.000 2.274 2.835
Pt 1.326 0.000 2.339

---

8
Lattice="-1.821 1.821 9.238 1.821 -1.821 9.238 1.821 1.821 -9.238" Properties=species:S:1:pos:R:3 comment="LiOs2Pt PBE relaxed" crystal_system=tetragonal dos_ef_per_ev_atom=1.211 dft_energy_ha_per_atom=-0.260 formation_energy_kj_per_mol_fu=206 pbc="T T T"
Li 0.000 0.000 0.000
Li 0.000 1.821 4.619
Os 2.731 0.787 -2.310
Os 0.787 0.910 2.310
Os -0.910 1.034 6.929
Os 1.034 0.910 11.548
Pt 1.821 0.000 4.619
Pt 0.000 0.000 9.238

---

4
Lattice="-1.937 1.937 3.789 1.937 -1.937 3.789 1.937 1.937 -3.789" Properties=species:S:1:pos:R:3 comment="LiOsPt2 PBE relaxed" crystal_system=tetragonal dos_ef_per_ev_atom=1.132 dft_energy_ha_per_atom=-0.233 formation_energy_kj_per_mol_fu=-14 pbc="T T T"
Li 0.000 0.000 0.000
Os 0.000 0.000 3.789
Pt 1.937 0.000 1.895
Pt 0.000 1.937 1.895